(1)
# Pu2TlIr, optimized geometry, DFT PBE
data_Pu2TlIr
_chemical_formula_sum 'Pu2 Tl1 Ir1'
_cell_length_a 3.345
_cell_length_b 3.345
_cell_length_c 8.506
_cell_angle_alpha 90.00
_cell_angle_beta 90.00
_cell_angle_gamma 90.00
_space_group_name_H-M_alt 'P 1'
_space_group_IT_number 1
_space_group_name_Hall 'P 1'
loop_
_atom_site_label
_atom_site_type_symbol
_atom_site_fract_x
_atom_site_fract_y
_atom_site_fract_z
Pu1 Pu 0.000 0.000 0.206
Pu2 Pu 0.000 0.000 0.794
Tl1 Tl 0.500 0.500 0.500
Ir1 Ir 0.500 0.500 0.000
# Energy relative to the elements   -0.286 eV per atom
# VASP energy   -41.04 eV per cell
# Energy relative to the lowest polymorph listed for this composition   0.0 kJ per mole of atoms

***

(2)
# Pu2TlIr, optimized geometry, DFT PBE
data_Pu2TlIr
_chemical_formula_sum 'Pu2 Tl1 Ir1'
_cell_length_a 4.587
_cell_length_b 4.587
_cell_length_c 4.301
_cell_angle_alpha 90.00
_cell_angle_beta 90.00
_cell_angle_gamma 90.00
_space_group_name_H-M_alt 'P 1'
_space_group_IT_number 1
_space_group_name_Hall 'P 1'
loop_
_atom_site_label
_atom_site_type_symbol
_atom_site_fract_x
_atom_site_fract_y
_atom_site_fract_z
Pu1 Pu 0.000 0.500 0.000
Pu2 Pu 0.500 0.000 0.000
Tl1 Tl 0.000 0.000 0.500
Ir1 Ir 0.500 0.500 0.500
# Energy relative to the elements   -0.061 eV per atom
# VASP energy   -40.13 eV per cell
# Energy relative to the lowest polymorph listed for this composition   21.8 kJ per mole of atoms

***

(3)
# Pu3TlIr, optimized geometry, DFT PBE
data_Pu3TlIr
_chemical_formula_sum 'Pu9 Tl3 Ir3'
_cell_length_a 7.136
_cell_length_b 7.136
_cell_length_c 7.136
_cell_angle_alpha 90.00
_cell_angle_beta 90.00
_cell_angle_gamma 90.00
_space_group_name_H-M_alt 'P 1'
_space_group_IT_number 1
_space_group_name_Hall 'P 1'
loop_
_atom_site_label
_atom_site_type_symbol
_atom_site_fract_x
_atom_site_fract_y
_atom_site_fract_z
Pu1 Pu 0.000 0.000 0.000
Pu2 Pu 0.277 0.277 0.277
Pu3 Pu 0.277 0.277 0.723
Pu4 Pu 0.277 0.723 0.277
Pu5 Pu 0.277 0.723 0.723
Pu6 Pu 0.723 0.277 0.277
Pu7 Pu 0.723 0.277 0.723
Pu8 Pu 0.723 0.723 0.277
Pu9 Pu 0.723 0.723 0.723
Tl1 Tl 0.000 0.000 0.500
Tl2 Tl 0.000 0.500 0.000
Tl3 Tl 0.500 0.000 0.000
Ir1 Ir 0.000 0.500 0.500
Ir2 Ir 0.500 0.000 0.500
Ir3 Ir 0.500 0.500 0.000
# Energy relative to the elements   -0.055 eV per atom
# VASP energy   -163.50 eV per cell

***

(4)
# Pu2TlIr, optimized geometry, DFT PBE
data_Pu2TlIr
_chemical_formula_sum 'Pu2 Tl1 Ir1'
_cell_length_a 10.118
_cell_length_b 10.118
_cell_length_c 10.118
_cell_angle_alpha 21.92
_cell_angle_beta 21.92
_cell_angle_gamma 21.92
_space_group_name_H-M_alt 'P 1'
_space_group_IT_number 1
_space_group_name_Hall 'P 1'
loop_
_atom_site_label
_atom_site_type_symbol
_atom_site_fract_x
_atom_site_fract_y
_atom_site_fract_z
Pu1 Pu 0.112 0.112 0.112
Pu2 Pu 0.888 0.888 0.888
Tl1 Tl 0.000 0.000 0.000
Ir1 Ir 0.500 0.500 0.500
# Energy relative to the elements   -0.007 eV per atom
# VASP energy   -39.92 eV per cell
# Energy relative to the lowest polymorph listed for this composition   26.9 kJ per mole of atoms